No. 1
Computed, not measured: an optimized crystal structure of SiTeAsBr2 at the GGA-PBE level of DFT.

Properties
- density (g/cm³) = 4.95
- E above lowest polymorph (eV/atom) = 0.000

Cell lengths 4.8962, 4.8962, 5.4641 Å; angles 90.00, 90.00, 90.00 degrees
Space group P4/mmm (No. 123)
Symmetry-distinct sites (fractional):
Si 0.0000 0.0000 0.0000 [1 per cell]
Te 0.5000 0.5000 0.5000 [1 per cell]
As 0.0000 0.0000 0.5000 [1 per cell]
Br 0.0000 0.5000 0.0000 [2 per cell]

***

No. 2
Computed, not measured: an optimized crystal structure of TiSiAsBr2 at the GGA-PBE level of DFT.

Properties
- density (g/cm³) = 4.19
- E above lowest polymorph (eV/atom) = 0.383

Cell lengths 4.9233, 4.9233, 5.0748 Å; angles 90.00, 90.00, 90.00 degrees
Space group P4/mmm (No. 123)
Symmetry-distinct sites (fractional):
Ti 0.0000 0.0000 0.0000 [1 per cell]
Si 0.5000 0.5000 0.5000 [1 per cell]
As 0.5000 0.5000 0.0000 [1 per cell]
Br 0.0000 0.5000 0.5000 [2 per cell]

***

No. 3
Computed, not measured: an optimized crystal structure of TiSiAsBr2 at the GGA-PBE level of DFT.

Properties
- density (g/cm³) = 4.03
- E above lowest polymorph (eV/atom) = 0.000

Cell lengths 4.9377, 4.9377, 5.2457 Å; angles 90.00, 90.00, 90.00 degrees
Space group P4/mmm (No. 123)
Symmetry-distinct sites (fractional):
Ti 0.0000 0.0000 0.0000 [1 per cell]
Si 0.5000 0.5000 0.5000 [1 per cell]
As 0.0000 0.0000 0.5000 [1 per cell]
Br 0.0000 0.5000 0.0000 [2 per cell]

***

No. 4
Computed, not measured: an optimized crystal structure of TlSiAsBr2 at the GGA-PBE level of DFT.

Properties
- density (g/cm³) = 4.49
- E above lowest polymorph (eV/atom) = 0.768

Cell lengths 5.5904, 5.5904, 5.5304 Å; angles 90.00, 90.00, 90.00 degrees
Space group P4/mmm (No. 123)
Symmetry-distinct sites (fractional):
Tl 0.0000 0.0000 0.0000 [1 per cell]
Si 0.5000 0.5000 0.5000 [1 per cell]
As 0.0000 0.0000 0.5000 [1 per cell]
Br 0.0000 0.5000 0.0000 [2 per cell]

***

No. 5
Computed, not measured: an optimized crystal structure of TlSiAs2Br at the GGA-PBE level of DFT.

Properties
- density (g/cm³) = 5.47
- E above lowest polymorph (eV/atom) = 0.000

Cell lengths 4.7323, 4.7323, 6.2674 Å; angles 90.00, 90.00, 90.00 degrees
Space group P4/mmm (No. 123)
Symmetry-distinct sites (fractional):
Tl 0.0000 0.0000 0.0000 [1 per cell]
Si 0.5000 0.5000 0.5000 [1 per cell]
As 0.0000 0.5000 0.5000 [2 per cell]
Br 0.5000 0.5000 0.0000 [1 per cell]

***

No. 6
Computed, not measured: an optimized crystal structure of TlSiAs2Br at the GGA-PBE level of DFT.

Properties
- density (g/cm³) = 4.85
- E above lowest polymorph (eV/atom) = 0.883

Cell lengths 5.3400, 5.3400, 5.5531 Å; angles 90.00, 90.00, 90.00 degrees
Space group P4/mmm (No. 123)
Symmetry-distinct sites (fractional):
Tl 0.0000 0.0000 0.0000 [1 per cell]
Si 0.5000 0.5000 0.5000 [1 per cell]
As 0.0000 0.5000 0.0000 [2 per cell]
Br 0.0000 0.0000 0.5000 [1 per cell]

***

Calculated magnetic moment (μB/f.u.), listed in the same order as above: 0.6; 0.1; 0.9; 0.4; 0.0; 0.8
Calculated ΔE_f (raw) (eV/f.u.), listed in the same order as above: 1.62; 2.77; 0.85; 3.78; 1.27; 5.68